{
  "formula": "Li2Fe3WO8",
  "functional": "GGA+U",
  "state": "optimized geometry",
  "cell": [[-2.969, 0.106, -5.330], [-6.090, -0.350, -0.155], [-3.337, 4.857, -1.585]],
  "species": ["Li", "Li", "Fe", "Fe", "Fe", "W", "O", "O", "O", "O", "O", "O", "O", "O"],
  "frac_coords": [[0.133, 0.133, 0.133], [0.867, 0.867, 0.867], [0.000, 0.500, 0.500], [0.500, 0.500, 0.000], [0.500, 0.000, 0.500], [0.500, 0.500, 0.500], [0.268, 0.268, 0.268], [0.270, 0.720, 0.270], [0.270, 0.270, 0.720], [0.720, 0.270, 0.270], [0.280, 0.730, 0.730], [0.730, 0.730, 0.280], [0.730, 0.280, 0.730], [0.732, 0.732, 0.732]],
  "vol_a3_per_cell": 159,
  "relative_energy_mev_per_atom": 49,
  "space_group": "No. 166"
}